DFT (PBE-GGA) results for crystalline Sc2TaPd2 at its relaxed geometry.

Output
* energy of formation from the pure elements: -6.13 kcal/mol of atoms
* DOS(E_F): 7.380 states/eV/f.u.
* symmetry: P4/mbm (127)
* calculated volume: 91.8 Å³/f.u.

Cell: 7.9014 7.9014 2.9411 Å, 90.00 90.00 90.00°
Closest atoms and distances in Å follow each position.
Sites, in units of the cell vectors:
Sc: 0.3509 0.8509 0.0000  6 Pd 2.68-2.79, 2 Sc 2.94
Sc: 0.8509 0.6491 0.0000  6 Pd 2.68-2.79, 2 Sc 2.94
Sc: 0.6491 0.1491 0.0000  6 Pd 2.68-2.79, 2 Sc 2.94
Sc: 0.1491 0.3509 0.0000  6 Pd 2.68-2.79, 2 Sc 2.94
Pd: 0.1508 0.6508 0.5000  6 Sc 2.68-2.79, 2 Pd 2.94
Pd: 0.6508 0.8492 0.5000  6 Sc 2.68-2.79, 2 Pd 2.94
Pd: 0.8492 0.3492 0.5000  6 Sc 2.68-2.79, 2 Pd 2.94
Pd: 0.3492 0.1508 0.5000  6 Sc 2.68-2.79, 2 Pd 2.94
Ta: 0.0000 0.0000 0.0000  2 Ta 2.94, 4 Sc 3.01
Ta: 0.5000 0.5000 0.0000  2 Ta 2.94, 4 Sc 3.01